Entry 1:
# LuHgSO | the Open Quantum Materials Database | PBE-GGA | relaxed
data_LuHgSO
_cell_length_a 3.871
_cell_length_b 3.871
_cell_length_c 9.936
_cell_angle_alpha 90.00
_cell_angle_beta 90.00
_cell_angle_gamma 90.00
_space_group_name_H-M_alt 'P 1'
_space_group_IT_number 1
loop_
_space_group_symop_operation_xyz
'x,y,z'
loop_
_atom_site_label
_atom_site_type_symbol
_atom_site_fract_x
_atom_site_fract_y
_atom_site_fract_z
Lu1 Lu 0.250 0.250 0.105
Lu2 Lu 0.750 0.750 0.895
Hg1 Hg 0.250 0.750 0.500
Hg2 Hg 0.750 0.250 0.500
S1 S 0.250 0.250 0.744
S2 S 0.750 0.750 0.256
O1 O 0.250 0.750 0.000
O2 O 0.750 0.250 0.000
# Energy: -5.1865 eV/atom
# ρ: 9.45 g/cm³
# SG: P4/nmm
# Crystal system: tetragonal

***

Entry 2:
# ScSiOs | the Open Quantum Materials Database | PBE-GGA | relaxed
data_ScSiOs
_cell_length_a 4.258
_cell_length_b 4.258
_cell_length_c 4.258
_cell_angle_alpha 60.00
_cell_angle_beta 60.00
_cell_angle_gamma 60.00
_space_group_name_H-M_alt 'P 1'
_space_group_IT_number 1
loop_
_space_group_symop_operation_xyz
'x,y,z'
loop_
_atom_site_label
_atom_site_type_symbol
_atom_site_fract_x
_atom_site_fract_y
_atom_site_fract_z
Sc1 Sc 0.000 0.000 0.000
Si1 Si 0.500 0.500 0.500
Os1 Os 0.250 0.250 0.250
# Energy: -7.9020 eV/atom
# ρ: 8.01 g/cm³
# SG: F-43m
# Crystal system: cubic

***

Entry 3:
# LiNbTeMo | the Open Quantum Materials Database | PBE-GGA | relaxed
data_LiNbTeMo
_cell_length_a 4.547
_cell_length_b 4.547
_cell_length_c 4.547
_cell_angle_alpha 60.00
_cell_angle_beta 60.00
_cell_angle_gamma 60.00
_space_group_name_H-M_alt 'P 1'
_space_group_IT_number 1
loop_
_space_group_symop_operation_xyz
'x,y,z'
loop_
_atom_site_label
_atom_site_type_symbol
_atom_site_fract_x
_atom_site_fract_y
_atom_site_fract_z
Li1 Li 0.000 0.000 0.000
Nb1 Nb 0.250 0.250 0.250
Te1 Te 0.750 0.750 0.750
Mo1 Mo 0.500 0.500 0.500
# Energy: -6.4845 eV/atom
# ρ: 8.08 g/cm³
# SG: F-43m
# Crystal system: cubic

***

Entry 4:
# HoTlPO | the Open Quantum Materials Database | PBE-GGA | relaxed
data_HoTlPO
_cell_length_a 4.020
_cell_length_b 7.931
_cell_length_c 5.723
_cell_angle_alpha 90.00
_cell_angle_beta 90.00
_cell_angle_gamma 90.00
_space_group_name_H-M_alt 'P 1'
_space_group_IT_number 1
loop_
_space_group_symop_operation_xyz
'x,y,z'
loop_
_atom_site_label
_atom_site_type_symbol
_atom_site_fract_x
_atom_site_fract_y
_atom_site_fract_z
Ho1 Ho 0.000 0.184 0.000
Ho2 Ho 0.000 0.816 0.500
Tl1 Tl 0.500 0.377 0.527
Tl2 Tl 0.500 0.623 0.027
P1 P 0.000 0.166 0.496
P2 P 0.000 0.834 0.996
O1 O 0.500 0.287 0.990
O2 O 0.500 0.713 0.490
# Energy: -5.5344 eV/atom
# ρ: 7.58 g/cm³
# SG: Pmc2_1
# Crystal system: orthorhombic

***

Entry 5:
# LiMg2Cd | the Open Quantum Materials Database | PBE-GGA | relaxed
data_LiMg2Cd
_cell_length_a 3.554
_cell_length_b 4.720
_cell_length_c 4.720
_cell_angle_alpha 90.00
_cell_angle_beta 90.00
_cell_angle_gamma 90.00
_space_group_name_H-M_alt 'P 1'
_space_group_IT_number 1
loop_
_space_group_symop_operation_xyz
'x,y,z'
loop_
_atom_site_label
_atom_site_type_symbol
_atom_site_fract_x
_atom_site_fract_y
_atom_site_fract_z
Li1 Li 0.000 0.000 0.000
Mg1 Mg 0.500 0.000 0.500
Mg2 Mg 0.500 0.500 0.996
Cd1 Cd 0.000 0.500 0.495
# Energy: -1.5994 eV/atom
# ρ: 3.52 g/cm³
# SG: Pmm2
# Crystal system: orthorhombic

***

Entry 6:
# In2AgAuO4 | the Open Quantum Materials Database | PBE-GGA | relaxed
data_In2AgAuO4
_cell_length_a 3.289
_cell_length_b 3.289
_cell_length_c 12.665
_cell_angle_alpha 90.00
_cell_angle_beta 90.00
_cell_angle_gamma 120.00
_space_group_name_H-M_alt 'P 1'
_space_group_IT_number 1
loop_
_space_group_symop_operation_xyz
'x,y,z'
loop_
_atom_site_label
_atom_site_type_symbol
_atom_site_fract_x
_atom_site_fract_y
_atom_site_fract_z
In1 In 0.000 0.000 0.249
In2 In 0.000 0.000 0.751
Ag1 Ag 0.333 0.667 0.500
Au1 Au 0.667 0.333 0.000
O1 O 0.333 0.667 0.335
O2 O 0.333 0.667 0.665
O3 O 0.667 0.333 0.163
O4 O 0.667 0.333 0.837
# Energy: -4.9329 eV/atom
# ρ: 8.37 g/cm³
# SG: P-6m2
# Crystal system: hexagonal

***

Entry 7:
# NaNpTlS3 | the Open Quantum Materials Database | PBE-GGA | relaxed
data_NaNpTlS3
_cell_length_a 7.653
_cell_length_b 7.653
_cell_length_c 11.184
_cell_angle_alpha 90.00
_cell_angle_beta 90.00
_cell_angle_gamma 149.32
_space_group_name_H-M_alt 'P 1'
_space_group_IT_number 1
loop_
_space_group_symop_operation_xyz
'x,y,z'
loop_
_atom_site_label
_atom_site_type_symbol
_atom_site_fract_x
_atom_site_fract_y
_atom_site_fract_z
Na1 Na 0.110 0.890 0.750
Na2 Na 0.890 0.110 0.250
Np1 Np 0.500 0.500 0.000
Np2 Np 0.500 0.500 0.500
Tl1 Tl 0.172 0.828 0.250
Tl2 Tl 0.828 0.172 0.750
S1 S 0.117 0.883 0.513
S2 S 0.117 0.883 0.987
S3 S 0.477 0.523 0.750
S4 S 0.523 0.477 0.250
S5 S 0.883 0.117 0.013
S6 S 0.883 0.117 0.487
# Energy: -5.8253 eV/atom
# ρ: 5.57 g/cm³
# SG: Cmcm
# Crystal system: orthorhombic

***

Entry 8:
# Rb2SbAuS4 | the Open Quantum Materials Database | PBE-GGA | relaxed
data_Rb2SbAuS4
_cell_length_a 6.948
_cell_length_b 20.468
_cell_length_c 7.315
_cell_angle_alpha 90.00
_cell_angle_beta 90.00
_cell_angle_gamma 90.00
_space_group_name_H-M_alt 'P 1'
_space_group_IT_number 1
loop_
_space_group_symop_operation_xyz
'x,y,z'
loop_
_atom_site_label
_atom_site_type_symbol
_atom_site_fract_x
_atom_site_fract_y
_atom_site_fract_z
Rb1 Rb 0.100 0.171 0.250
Rb2 Rb 0.100 0.329 0.750
Rb3 Rb 0.296 0.012 0.750
Rb4 Rb 0.296 0.488 0.250
Rb5 Rb 0.704 0.512 0.750
Rb6 Rb 0.704 0.988 0.250
Rb7 Rb 0.900 0.671 0.250
Rb8 Rb 0.900 0.829 0.750
Sb1 Sb 0.207 0.610 0.750
Sb2 Sb 0.207 0.890 0.250
Sb3 Sb 0.793 0.110 0.750
Sb4 Sb 0.793 0.390 0.250
Au1 Au 0.392 0.750 0.000
Au2 Au 0.392 0.750 0.500
Au3 Au 0.608 0.250 0.000
Au4 Au 0.608 0.250 0.500
S1 S 0.093 0.161 0.750
S2 S 0.093 0.339 0.250
S3 S 0.201 0.004 0.250
S4 S 0.201 0.496 0.750
S5 S 0.391 0.637 0.020
S6 S 0.391 0.637 0.480
S7 S 0.391 0.863 0.520
S8 S 0.391 0.863 0.980
S9 S 0.609 0.137 0.020
S10 S 0.609 0.137 0.480
S11 S 0.609 0.363 0.520
S12 S 0.609 0.363 0.980
S13 S 0.799 0.504 0.250
S14 S 0.799 0.996 0.750
S15 S 0.907 0.661 0.750
S16 S 0.907 0.839 0.250
# Energy: -3.8859 eV/atom
# ρ: 3.95 g/cm³
# SG: Pbcm
# Crystal system: orthorhombic

***

Entry 9:
# Cu9Ag | the Open Quantum Materials Database | PBE-GGA | relaxed
data_Cu9Ag
_cell_length_a 6.861
_cell_length_b 6.861
_cell_length_c 5.218
_cell_angle_alpha 101.06
_cell_angle_beta 101.06
_cell_angle_gamma 30.93
_space_group_name_H-M_alt 'P 1'
_space_group_IT_number 1
loop_
_space_group_symop_operation_xyz
'x,y,z'
loop_
_atom_site_label
_atom_site_type_symbol
_atom_site_fract_x
_atom_site_fract_y
_atom_site_fract_z
Cu1 Cu 0.000 0.000 0.000
Cu2 Cu 0.200 0.200 0.100
Cu3 Cu 0.204 0.204 0.603
Cu4 Cu 0.395 0.395 0.189
Cu5 Cu 0.396 0.396 0.707
Cu6 Cu 0.604 0.604 0.293
Cu7 Cu 0.605 0.605 0.811
Cu8 Cu 0.796 0.796 0.397
Cu9 Cu 0.800 0.800 0.900
Ag1 Ag 0.000 0.000 0.500
# ρ: 9.12 g/cm³
# SG: C2/m
# ΔH_f (0 K): 0.04 eV per atom
# Crystal system: monoclinic

***

Entry 10:
# Ag2Te2Pb | the Open Quantum Materials Database | PBE-GGA | relaxed
data_Ag2Te2Pb
_cell_length_a 4.638
_cell_length_b 8.572
_cell_length_c 7.889
_cell_angle_alpha 90.00
_cell_angle_beta 114.58
_cell_angle_gamma 90.00
_space_group_name_H-M_alt 'P 1'
_space_group_IT_number 1
loop_
_space_group_symop_operation_xyz
'x,y,z'
loop_
_atom_site_label
_atom_site_type_symbol
_atom_site_fract_x
_atom_site_fract_y
_atom_site_fract_z
Ag1 Ag 0.129 0.144 0.476
Ag2 Ag 0.129 0.356 0.976
Ag3 Ag 0.871 0.644 0.024
Ag4 Ag 0.871 0.856 0.524
Te1 Te 0.214 0.638 0.788
Te2 Te 0.214 0.862 0.288
Te3 Te 0.786 0.138 0.712
Te4 Te 0.786 0.362 0.212
Pb1 Pb 0.500 0.000 0.000
Pb2 Pb 0.500 0.500 0.500
# Energy: -3.2876 eV/atom
# ρ: 7.90 g/cm³
# SG: P2_1/c
# Crystal system: monoclinic

***

Entry 11:
# NaSmCo | the Open Quantum Materials Database | PBE-GGA | relaxed
data_NaSmCo
_cell_length_a 4.682
_cell_length_b 4.682
_cell_length_c 4.682
_cell_angle_alpha 60.00
_cell_angle_beta 60.00
_cell_angle_gamma 60.00
_space_group_name_H-M_alt 'P 1'
_space_group_IT_number 1
loop_
_space_group_symop_operation_xyz
'x,y,z'
loop_
_atom_site_label
_atom_site_type_symbol
_atom_site_fract_x
_atom_site_fract_y
_atom_site_fract_z
Na1 Na 0.000 0.000 0.000
Sm1 Sm 0.750 0.750 0.750
Co1 Co 0.500 0.500 0.500
# Energy: -3.4292 eV/atom
# ρ: 5.31 g/cm³
# SG: F-43m
# Crystal system: cubic

***

Entry 12:
# ScGaPd2 | the Open Quantum Materials Database | PBE-GGA | relaxed
data_ScGaPd2
_cell_length_a 3.299
_cell_length_b 3.299
_cell_length_c 6.091
_cell_angle_alpha 90.00
_cell_angle_beta 90.00
_cell_angle_gamma 90.00
_space_group_name_H-M_alt 'P 1'
_space_group_IT_number 1
loop_
_space_group_symop_operation_xyz
'x,y,z'
loop_
_atom_site_label
_atom_site_type_symbol
_atom_site_fract_x
_atom_site_fract_y
_atom_site_fract_z
Sc1 Sc 0.000 0.000 0.000
Ga1 Ga 0.000 0.000 0.500
Pd1 Pd 0.500 0.500 0.264
Pd2 Pd 0.500 0.500 0.736
# Energy: -5.7095 eV/atom
# ρ: 8.20 g/cm³
# SG: P4/mmm
# Crystal system: tetragonal

***

Q: Among the records above, which one has the highest ρ?
A: LuHgSO

***

Q: Which of these has the highest ρ?
A: LuHgSO

***

Q: Which value of ρ does entry 12 give?
A: 8.20 g/cm³